1.
# PBE Cs3Tl4Bi2, relaxed
data_Cs3Tl4Bi2
_cell_length_a 16.794
_cell_length_b 4.877
_cell_length_c 10.732
_cell_angle_alpha 90.00
_cell_angle_beta 111.62
_cell_angle_gamma 90.00
_symmetry_space_group_name_H-M 'C 1 2/m 1'
_symmetry_Int_Tables_number 12
loop_
_symmetry_equiv_pos_as_xyz
'x,y,z'
'-x,-y,-z'
'-x,y,-z'
'x,-y,z'
'x+1/2,y+1/2,z'
'-x+1/2,-y+1/2,-z'
'-x+1/2,y+1/2,-z'
'x+1/2,-y+1/2,z'
loop_
_atom_site_label
_atom_site_type_symbol
_atom_site_fract_x
_atom_site_fract_y
_atom_site_fract_z
Cs1 Cs 0.000 0.000 0.000
Cs2 Cs 0.104 0.500 0.383
Tl1 Tl 0.123 0.000 0.727
Tl2 Tl 0.168 0.500 0.991
Bi1 Bi 0.244 0.000 0.236
# Energy above the lowest structure with this stoichiometry = 0.000 eV per atom
# Calculated formation energy = -0.2122 eV per atom
# Calculated total energy = -2.411 eV per atom

---

2.
# PBE CsTl6Bi2, relaxed
data_CsTl6Bi2
_cell_length_a 5.424
_cell_length_b 5.424
_cell_length_c 11.222
_cell_angle_alpha 90.00
_cell_angle_beta 90.00
_cell_angle_gamma 90.00
_symmetry_space_group_name_H-M 'P 4/m m m'
_symmetry_Int_Tables_number 123
_symmetry_space_group_name_Hall '-P 4 2'
loop_
_atom_site_label
_atom_site_type_symbol
_atom_site_fract_x
_atom_site_fract_y
_atom_site_fract_z
Cs1 Cs 0.000 0.000 0.000
Tl1 Tl 0.000 0.000 0.500
Tl2 Tl 0.000 0.500 0.310
Tl3 Tl 0.500 0.500 0.500
Bi1 Bi 0.500 0.500 0.141
# Calculated formation energy = -0.0921 eV per atom
# Calculated total energy = -2.627 eV per atom

---

3.
# PBE CsTlBi2, relaxed
data_CsTlBi2
_cell_length_a 12.075
_cell_length_b 4.497
_cell_length_c 6.955
_cell_angle_alpha 90.00
_cell_angle_beta 105.78
_cell_angle_gamma 90.00
_symmetry_space_group_name_H-M 'C 1 2/m 1'
_symmetry_Int_Tables_number 12
loop_
_symmetry_equiv_pos_as_xyz
'x,y,z'
'-x,-y,-z'
'-x,y,-z'
'x,-y,z'
'x+1/2,y+1/2,z'
'-x+1/2,-y+1/2,-z'
'-x+1/2,y+1/2,-z'
'x+1/2,-y+1/2,z'
loop_
_atom_site_label
_atom_site_type_symbol
_atom_site_fract_x
_atom_site_fract_y
_atom_site_fract_z
Cs1 Cs 0.000 0.000 0.000
Tl1 Tl 0.000 0.500 0.500
Bi1 Bi 0.238 0.000 0.642
# Energy above the lowest structure with this stoichiometry = 0.016 eV per atom
# Calculated formation energy = -0.1748 eV per atom
# Calculated total energy = -2.920 eV per atom